Record 1
# Li2CaTb2Ga2 | Alexandria via LeMat-Bulk | PBE | relaxed
# **Crystal system**: trigonal
# **D(E_F)**: 0.691 states/eV per atom
# **Total magnetic moment**: 0.00 μB/cell
# **Uncorrected energy**: -22.9 eV for the cell shown
data_Li2CaTb2Ga2
_chemical_formula_sum 'Li2 Ca1 Tb2 Ga2'
_cell_length_a 9.3989
_cell_length_b 9.3989
_cell_length_c 9.3989
_cell_angle_alpha 28.76
_cell_angle_beta 28.76
_cell_angle_gamma 28.76
_space_group_name_H-M_alt 'P 1'
_space_group_IT_number 1
_space_group_name_Hall 'P 1'
loop_
_atom_site_label
_atom_site_type_symbol
_atom_site_fract_x
_atom_site_fract_y
_atom_site_fract_z
Li1 Li 0.1018 0.1018 0.1018
Li2 Li 0.8982 0.8982 0.8982
Ca1 Ca 0.5000 0.5000 0.5000
Tb1 Tb 0.3725 0.3725 0.3725
Tb2 Tb 0.6275 0.6275 0.6275
Ga1 Ga 0.2456 0.2456 0.2456
Ga2 Ga 0.7544 0.7544 0.7544


Record 2
# LiCaTmGa | Alexandria via LeMat-Bulk | PBE | relaxed
# **Crystal system**: cubic
# **D(E_F)**: 0.781 states/eV per atom
# **Total magnetic moment**: 0.00 μB/cell
# **Uncorrected energy**: -12.4 eV for the cell shown
data_LiCaTmGa
_chemical_formula_sum 'Li1 Ca1 Tm1 Ga1'
_cell_length_a 5.1403
_cell_length_b 5.1403
_cell_length_c 5.1403
_cell_angle_alpha 60.00
_cell_angle_beta 60.00
_cell_angle_gamma 60.00
_space_group_name_H-M_alt 'P 1'
_space_group_IT_number 1
_space_group_name_Hall 'P 1'
loop_
_atom_site_label
_atom_site_type_symbol
_atom_site_fract_x
_atom_site_fract_y
_atom_site_fract_z
Li1 Li 0.0000 0.0000 0.0000
Ca1 Ca 0.7500 0.7500 0.7500
Tm1 Tm 0.2500 0.2500 0.2500
Ga1 Ga 0.5000 0.5000 0.5000